1.
SmBe3Co3: relaxed, PBE-GGA.

Lattice parameters (Å, degrees): 5.749 5.749 5.749 90.00 90.00 90.00
Fractional coordinates of all 14 atoms:
Sm  0.000  0.000  0.000
Sm  0.500  0.500  0.500
Be  0.000  0.250  0.500
Be  0.000  0.750  0.500
Be  0.250  0.500  0.000
Be  0.500  0.000  0.250
Be  0.500  0.000  0.750
Be  0.750  0.500  0.000
Co  0.000  0.500  0.250
Co  0.000  0.500  0.750
Co  0.250  0.000  0.500
Co  0.500  0.250  0.000
Co  0.500  0.750  0.000
Co  0.750  0.000  0.500

Summary:
**SG**: No. 223
**Formation enthalpy at 0 K**: 245 meV per atom

=====

2.
SmBeCo: relaxed, PBE-GGA.

Lattice parameters (Å, degrees): 3.997 3.997 6.576 90.00 90.00 90.00
Fractional coordinates of all 6 atoms:
Sm  0.250  0.250  0.194
Sm  0.750  0.750  0.806
Be  0.250  0.250  0.642
Be  0.750  0.750  0.358
Co  0.250  0.750  0.500
Co  0.750  0.250  0.500

Summary:
**SG**: No. 129
**Formation enthalpy at 0 K**: -164 meV per atom

=====

3.
SmBeCo: relaxed, PBE-GGA.

Lattice parameters (Å, degrees): 3.838 3.838 3.998 90.00 90.00 120.00
Fractional coordinates of all 3 atoms:
Sm  0.000  0.000  0.000
Be  0.333  0.667  0.500
Co  0.667  0.333  0.500

Summary:
**SG**: No. 187
**Formation enthalpy at 0 K**: -91 meV per atom

=====

4.
SmBe6Co2: relaxed, PBE-GGA.

Lattice parameters (Å, degrees): 5.869 5.869 5.869 144.86 116.79 74.43
Fractional coordinates of all 9 atoms:
Sm  0.000  0.000  0.000
Be  0.093  0.284  0.809
Be  0.347  0.500  0.847
Be  0.475  0.284  0.191
Be  0.525  0.716  0.809
Be  0.653  0.500  0.153
Be  0.907  0.716  0.191
Co  0.365  0.865  0.500
Co  0.635  0.135  0.500

Summary:
**SG**: No. 71
**Formation enthalpy at 0 K**: -54 meV per atom

=====

Please write out number 1 again, unchanged.
SmBe3Co3: relaxed, PBE-GGA.

Lattice parameters (Å, degrees): 5.749 5.749 5.749 90.00 90.00 90.00
Fractional coordinates of all 14 atoms:
Sm  0.000  0.000  0.000
Sm  0.500  0.500  0.500
Be  0.000  0.250  0.500
Be  0.000  0.750  0.500
Be  0.250  0.500  0.000
Be  0.500  0.000  0.250
Be  0.500  0.000  0.750
Be  0.750  0.500  0.000
Co  0.000  0.500  0.250
Co  0.000  0.500  0.750
Co  0.250  0.000  0.500
Co  0.500  0.250  0.000
Co  0.500  0.750  0.000
Co  0.750  0.000  0.500

Summary:
**SG**: No. 223
**Formation enthalpy at 0 K**: 245 meV per atom

=====

What did the first record say?
SmBe3Co3: relaxed, PBE-GGA.

Lattice parameters (Å, degrees): 5.749 5.749 5.749 90.00 90.00 90.00
Fractional coordinates of all 14 atoms:
Sm  0.000  0.000  0.000
Sm  0.500  0.500  0.500
Be  0.000  0.250  0.500
Be  0.000  0.750  0.500
Be  0.250  0.500  0.000
Be  0.500  0.000  0.250
Be  0.500  0.000  0.750
Be  0.750  0.500  0.000
Co  0.000  0.500  0.250
Co  0.000  0.500  0.750
Co  0.250  0.000  0.500
Co  0.500  0.250  0.000
Co  0.500  0.750  0.000
Co  0.750  0.000  0.500

Summary:
**SG**: No. 223
**Formation enthalpy at 0 K**: 245 meV per atom

=====

Question: formation enthalpy at 0 K of number 1 (SmBe3Co3)?
Answer: 245 meV per atom